# PBE InTeAu2, relaxed
# Uncorrected formation energy ... -0.016 eV per atom
# Volume ... 25.65 Å³ per atom
# Density of states at the Fermi level ... 9.35 states/eV/cell
data_InTeAu2
_chemical_formula_sum 'In4 Te4 Au8'
_symmetry_space_group_name_H-M 'I -4 2 d'
_symmetry_Int_Tables_number 122
_symmetry_space_group_name_Hall 'I -4 2bw'
_cell_length_a 4.802
_cell_length_b 4.802
_cell_length_c 17.802
_cell_angle_alpha 90.00
_cell_angle_beta 90.00
_cell_angle_gamma 90.00
loop_
_atom_site_label
_atom_site_type_symbol
_atom_site_fract_x
_atom_site_fract_y
_atom_site_fract_z
_atom_site_occupancy
In1 In 0.000 0.000 0.000 1
Te1 Te 0.000 0.000 0.500 1
Au1 Au 0.215 0.250 0.125 1